(1)
Compound: CaGaPtN2
Source: Alexandria
Functional: PBE-GGA
Structure: relaxed

a b c (Å): 4.0800 4.0800 4.9461
angles (deg): 90.00 90.00 90.00
Atoms (fractional coordinates):
Ca  0.0000  0.0000  0.0000
Ga  0.5000  0.5000  0.5000
Pt  0.5000  0.5000  0.0000
N  0.0000  0.5000  0.5000
N  0.5000  0.0000  0.5000

Properties
VASP energy = -4.890 eV per atom
Total magnetic moment = 2.808 μB/f.u.

***

(2)
Compound: CaGa2RuN
Source: Alexandria
Functional: PBE-GGA
Structure: relaxed

a b c (Å): 5.7259 5.7259 4.7586
angles (deg): 90.00 90.00 90.00
Atoms (fractional coordinates):
Ca  0.0000  0.0000  0.0000
Ga  0.0000  0.5000  0.0000
Ga  0.5000  0.0000  0.0000
Ru  0.0000  0.0000  0.5000
N  0.5000  0.5000  0.5000

Properties
VASP energy = -2.911 eV per atom
Total magnetic moment = 2.972 μB/f.u.

***

(3)
Compound: CaGaS2N
Source: Alexandria
Functional: PBE-GGA
Structure: relaxed

a b c (Å): 5.3739 5.3739 4.6925
angles (deg): 90.00 90.00 90.00
Atoms (fractional coordinates):
Ca  0.0000  0.0000  0.0000
Ga  0.5000  0.5000  0.5000
S  0.0000  0.5000  0.0000
S  0.5000  0.0000  0.0000
N  0.0000  0.0000  0.5000

Properties
Energy above the most stable polymorph in this dataset = 0.8483 eV per atom
Total magnetic moment = 4.032 μB/f.u.

***

(4)
Compound: CaGaS2N
Source: Alexandria
Functional: PBE-GGA
Structure: relaxed

a b c (Å): 4.9280 4.9280 3.8430
angles (deg): 90.00 90.00 90.00
Atoms (fractional coordinates):
Ca  0.0000  0.0000  0.0000
Ga  0.5000  0.5000  0.5000
S  0.0000  0.5000  0.5000
S  0.5000  0.0000  0.5000
N  0.5000  0.5000  0.0000

Properties
Energy above the most stable polymorph in this dataset = 0.0000 eV per atom
Total magnetic moment = 1.953 μB/f.u.

***

(5)
Compound: Ca2GaSbN
Source: Alexandria
Functional: PBE-GGA
Structure: relaxed

a b c (Å): 4.9699 4.9699 4.3032
angles (deg): 90.00 90.00 90.00
Atoms (fractional coordinates):
Ca  0.0000  0.5000  0.0000
Ca  0.5000  0.0000  0.0000
Ga  0.0000  0.0000  0.5000
Sb  0.5000  0.5000  0.5000
N  0.0000  0.0000  0.0000

Properties
VASP energy = -4.605 eV per atom
Total magnetic moment = 0.000 μB/f.u.

***

(6)
Compound: CaSc2GaN
Source: Alexandria
Functional: PBE-GGA
Structure: relaxed

a b c (Å): 4.4451 4.4451 4.7233
angles (deg): 90.00 90.00 90.00
Atoms (fractional coordinates):
Ca  0.0000  0.0000  0.0000
Sc  0.0000  0.5000  0.5000
Sc  0.5000  0.0000  0.5000
Ga  0.5000  0.5000  0.0000
N  0.0000  0.0000  0.5000

Properties
VASP energy = -6.142 eV per atom
Total magnetic moment = 0.000 μB/f.u.

***

(7)
Compound: Ca2ScGaN
Source: Alexandria
Functional: PBE-GGA
Structure: relaxed

a b c (Å): 4.9531 4.9531 4.2805
angles (deg): 90.00 90.00 90.00
Atoms (fractional coordinates):
Ca  0.0000  0.5000  0.0000
Ca  0.5000  0.0000  0.0000
Sc  0.0000  0.0000  0.5000
Ga  0.5000  0.5000  0.5000
N  0.0000  0.0000  0.0000

Properties
VASP energy = -5.128 eV per atom
Total magnetic moment = 0.000 μB/f.u.

***

(8)
Compound: CaGaSe2N
Source: Alexandria
Functional: PBE-GGA
Structure: relaxed

a b c (Å): 5.2537 5.2537 3.8052
angles (deg): 90.00 90.00 90.00
Atoms (fractional coordinates):
Ca  0.0000  0.0000  0.0000
Ga  0.5000  0.5000  0.5000
Se  0.0000  0.5000  0.5000
Se  0.5000  0.0000  0.5000
N  0.5000  0.5000  0.0000

Properties
Energy above the most stable polymorph in this dataset = 0.0000 eV per atom
Total magnetic moment = 1.990 μB/f.u.

***

(9)
Compound: CaGaSe2N
Source: Alexandria
Functional: PBE-GGA
Structure: relaxed

a b c (Å): 5.5410 5.5410 4.4221
angles (deg): 90.00 90.00 90.00
Atoms (fractional coordinates):
Ca  0.0000  0.0000  0.0000
Ga  0.5000  0.5000  0.5000
Se  0.0000  0.5000  0.0000
Se  0.5000  0.0000  0.0000
N  0.0000  0.0000  0.5000

Properties
Energy above the most stable polymorph in this dataset = 0.8600 eV per atom
Total magnetic moment = 0.001 μB/f.u.

***

(10)
Compound: CaGa2SiN4
Source: Alexandria
Functional: PBE-GGA
Structure: relaxed

a b c (Å): 5.2785 5.2785 5.2785
angles (deg): 124.29 124.29 82.71
Atoms (fractional coordinates):
Ca  0.0000  0.0000  0.0000
Ga  0.2500  0.7500  0.5000
Ga  0.7500  0.2500  0.5000
Si  0.5000  0.5000  0.0000
N  0.1660  0.1660  0.5930
N  0.4270  0.8340  0.0000
N  0.5730  0.5730  0.4070
N  0.8340  0.4270  0.0000

Properties
VASP energy = -6.606 eV per atom
Total magnetic moment = 0.000 μB/f.u.

***

(11)
Compound: Ca4GaSn3N8
Source: Alexandria
Functional: PBE-GGA
Structure: relaxed

a b c (Å): 6.7187 6.7187 6.7187
angles (deg): 59.13 59.13 59.13
Atoms (fractional coordinates):
Ca  0.0000  0.0000  0.0000
Ca  0.0000  0.5000  0.5000
Ca  0.5000  0.0000  0.5000
Ca  0.5000  0.5000  0.0000
Ga  0.5000  0.5000  0.5000
Sn  0.0000  0.0000  0.5000
Sn  0.0000  0.5000  0.0000
Sn  0.5000  0.0000  0.0000
N  0.2405  0.2405  0.2405
N  0.2417  0.7379  0.7379
N  0.2621  0.2621  0.7583
N  0.2621  0.7583  0.2621
N  0.7379  0.2417  0.7379
N  0.7379  0.7379  0.2417
N  0.7583  0.2621  0.2621
N  0.7595  0.7595  0.7595

Properties
VASP energy = -5.967 eV per atom
Total magnetic moment = 0.000 μB/f.u.

***

(12)
Compound: Ca2GaSnN
Source: Alexandria
Functional: PBE-GGA
Structure: relaxed

a b c (Å): 5.0220 5.0220 4.1342
angles (deg): 90.00 90.00 90.00
Atoms (fractional coordinates):
Ca  0.0000  0.5000  0.0000
Ca  0.5000  0.0000  0.0000
Ga  0.0000  0.0000  0.5000
Sn  0.5000  0.5000  0.5000
N  0.0000  0.0000  0.0000

Properties
VASP energy = -4.410 eV per atom
Total magnetic moment = 0.000 μB/f.u.

***

(13)
Compound: SrCaGaN
Source: Alexandria
Functional: PBE-GGA
Structure: relaxed

a b c (Å): 6.5383 6.5383 6.5383
angles (deg): 145.38 145.38 49.77
Atoms (fractional coordinates):
Sr  0.0000  0.0000  0.0000
Ca  0.2941  0.2941  0.0000
Ga  0.6508  0.6508  0.0000
N  0.4847  0.4847  0.0000

Properties
VASP energy = -4.291 eV per atom
Total magnetic moment = 0.000 μB/f.u.

***

(14)
Compound: Ca2TaGaN4
Source: Alexandria
Functional: PBE-GGA
Structure: relaxed

a b c (Å): 6.9533 6.4661 5.4982
angles (deg): 90.00 90.00 90.00
Atoms (fractional coordinates):
Ca  0.2504  0.1757  0.0000
Ca  0.2496  0.8243  0.5000
Ca  0.7496  0.1757  0.0000
Ca  0.7504  0.8243  0.5000
Ta  0.0000  0.3479  0.5186
Ta  0.5000  0.6521  0.0186
Ga  0.0000  0.6596  0.0191
Ga  0.5000  0.3404  0.5191
N  0.0000  0.3863  0.8668
N  0.0000  0.6190  0.3721
N  0.2447  0.1946  0.4478
N  0.2553  0.8054  0.9478
N  0.5000  0.3810  0.8721
N  0.5000  0.6137  0.3668
N  0.7447  0.8054  0.9478
N  0.7553  0.1946  0.4478

Properties
VASP energy = -7.494 eV per atom
Total magnetic moment = 0.000 μB/f.u.

***

(15)
Compound: Ca2GaTcN4
Source: Alexandria
Functional: PBE-GGA
Structure: relaxed

a b c (Å): 8.2936 6.0817 5.1716
angles (deg): 90.00 90.00 90.00
Atoms (fractional coordinates):
Ca  0.2478  0.1982  0.0000
Ca  0.2522  0.8018  0.5000
Ca  0.7478  0.8018  0.5000
Ca  0.7522  0.1982  0.0000
Ga  0.0000  0.6995  0.0131
Ga  0.5000  0.3005  0.5131
Tc  0.0000  0.3332  0.5365
Tc  0.5000  0.6668  0.0365
N  0.0000  0.3839  0.8885
N  0.0000  0.6182  0.4032
N  0.1843  0.1835  0.4634
N  0.3157  0.8165  0.9634
N  0.5000  0.3818  0.9032
N  0.5000  0.6161  0.3885
N  0.6843  0.8165  0.9634
N  0.8157  0.1835  0.4634

Properties
VASP energy = -6.868 eV per atom
Total magnetic moment = 0.000 μB/f.u.

***

(16)
Compound: Ca2GaTcN
Source: Alexandria
Functional: PBE-GGA
Structure: relaxed

a b c (Å): 4.9502 4.9502 3.9039
angles (deg): 90.00 90.00 90.00
Atoms (fractional coordinates):
Ca  0.0000  0.5000  0.0000
Ca  0.5000  0.0000  0.0000
Ga  0.0000  0.0000  0.5000
Tc  0.5000  0.5000  0.5000
N  0.5000  0.5000  0.0000

Properties
VASP energy = -5.577 eV per atom
Total magnetic moment = 0.000 μB/f.u.

***

(17)
Compound: CaGaTc2N4
Source: Alexandria
Functional: PBE-GGA
Structure: relaxed

a b c (Å): 5.6153 5.6153 5.6153
angles (deg): 127.94 127.94 76.73
Atoms (fractional coordinates):
Ca  0.0000  0.0000  0.0000
Ga  0.5000  0.5000  0.0000
Tc  0.2500  0.7500  0.5000
Tc  0.7500  0.2500  0.5000
N  0.1359  0.1359  0.5737
N  0.4378  0.8641  0.0000
N  0.5622  0.5622  0.4263
N  0.8641  0.4378  0.0000

Properties
VASP energy = -7.506 eV per atom
Total magnetic moment = 0.000 μB/f.u.

***

(18)
Compound: CaThGaN3
Source: Alexandria
Functional: PBE-GGA
Structure: relaxed

a b c (Å): 7.1226 3.5982 8.4180
angles (deg): 90.00 98.95 90.00
Atoms (fractional coordinates):
Ca  0.1534  0.2500  0.1381
Ca  0.8466  0.7500  0.8619
Th  0.3589  0.7500  0.8305
Th  0.6411  0.2500  0.1695
Ga  0.0572  0.2500  0.6169
Ga  0.9428  0.7500  0.3831
N  0.1033  0.2500  0.8509
N  0.1632  0.7500  0.5552
N  0.4135  0.7500  0.1180
N  0.5865  0.2500  0.8820
N  0.8368  0.2500  0.4448
N  0.8967  0.7500  0.1491

Properties
VASP energy = -7.165 eV per atom
Total magnetic moment = 0.000 μB/f.u.

***

(19)
Compound: Ca2TlGaN
Source: Alexandria
Functional: PBE-GGA
Structure: relaxed

a b c (Å): 5.0137 5.0137 4.1974
angles (deg): 90.00 90.00 90.00
Atoms (fractional coordinates):
Ca  0.0000  0.5000  0.0000
Ca  0.5000  0.0000  0.0000
Tl  0.0000  0.0000  0.5000
Ga  0.5000  0.5000  0.5000
N  0.5000  0.5000  0.0000

Properties
VASP energy = -3.973 eV per atom
Total magnetic moment = 0.000 μB/f.u.

***

(20)
Compound: CaTlGa2N
Source: Alexandria
Functional: PBE-GGA
Structure: relaxed

a b c (Å): 5.5425 5.5425 5.9009
angles (deg): 90.00 90.00 90.00
Atoms (fractional coordinates):
Ca  0.0000  0.0000  0.0000
Tl  0.0000  0.0000  0.5000
Ga  0.0000  0.5000  0.0000
Ga  0.5000  0.0000  0.0000
N  0.5000  0.5000  0.5000

Properties
VASP energy = -1.978 eV per atom
Total magnetic moment = 0.000 μB/f.u.